No. 1
Zr3CuP | PBE | optimized geometry

Calculated values
raw total energy = -7.545 eV/atom
SG = No. 63

a = 5.893 Å, b = 5.893 Å, c = 9.619 Å
α = 90.00°, β = 90.00°, γ = 143.80°
Sites, in units of the cell vectors:
Zr: 0.854 0.146 0.070
Zr: 0.854 0.146 0.430
Zr: 0.146 0.854 0.570
Zr: 0.429 0.571 0.750
Zr: 0.571 0.429 0.250
Zr: 0.146 0.854 0.930
Cu: 0.252 0.748 0.250
Cu: 0.748 0.252 0.750
P: 0.500 0.500 0.000
P: 0.500 0.500 0.500

No. 2
PaCu | PBE | optimized geometry

Calculated values
calculated formation energy = 0.230 eV per atom
SG = No. 187

a = 3.133 Å, b = 3.133 Å, c = 4.665 Å
α = 90.00°, β = 90.00°, γ = 119.99°
Sites, in units of the cell vectors:
Pa: 0.333 0.667 0.250
Cu: 0.667 0.333 0.750

No. 3
PaCu | PBE | optimized geometry

Calculated values
calculated formation energy = 1.318 eV per atom
SG = No. 216

a = 4.287 Å, b = 4.287 Å, c = 4.287 Å
α = 60.00°, β = 60.00°, γ = 60.00°
Last column: magnetic moment on the atom in μB.
Sites, in units of the cell vectors:
Pa: 0.250 0.250 0.250  1.18
Cu: 0.000 0.000 0.000  0.09

No. 4
PaCu | PBE | optimized geometry

Calculated values
calculated formation energy = 0.695 eV per atom
SG = No. 225

a = 4.001 Å, b = 4.001 Å, c = 4.001 Å
α = 60.00°, β = 60.00°, γ = 60.00°
Last column: magnetic moment on the atom in μB.
Sites, in units of the cell vectors:
Cu: 0.000 0.000 0.000  0.13
Pa: 0.500 0.500 0.500  1.33

No. 5
PaCu | PBE | optimized geometry

Calculated values
calculated formation energy = 0.208 eV per atom
SG = No. 221

a = 3.392 Å, b = 3.392 Å, c = 3.392 Å
α = 90.00°, β = 90.00°, γ = 90.00°
Sites, in units of the cell vectors:
Cu: 0.000 0.000 0.000
Pa: 0.500 0.500 0.500

No. 6
PaCuPt | PBE | optimized geometry

Calculated values
excess energy over the best structure of this formula in the dataset = 0.0000 eV/atom
calculated formation energy = -0.630 eV per atom
SG = No. 194

a = 4.472 Å, b = 4.472 Å, c = 6.371 Å
α = 90.00°, β = 90.00°, γ = 120.00°
Sites, in units of the cell vectors:
Pt: 0.333 0.667 0.250
Pt: 0.667 0.333 0.750
Pa: 0.000 0.000 0.000
Pa: 0.000 0.000 0.500
Cu: 0.333 0.667 0.750
Cu: 0.667 0.333 0.250

No. 7
PaCuPt | PBE | optimized geometry

Calculated values
excess energy over the best structure of this formula in the dataset = 0.3092 eV/atom
calculated formation energy = -0.321 eV per atom
SG = No. 216

a = 4.536 Å, b = 4.536 Å, c = 4.536 Å
α = 60.00°, β = 60.00°, γ = 60.00°
Sites, in units of the cell vectors:
Pt: 0.000 0.000 0.000
Pa: 0.750 0.750 0.750
Cu: 0.250 0.250 0.250

No. 8
PaCuRe | PBE | optimized geometry

Calculated values
excess energy over the best structure of this formula in the dataset = 0.4612 eV/atom
calculated formation energy = 0.913 eV per atom
SG = No. 216

a = 4.479 Å, b = 4.479 Å, c = 4.479 Å
α = 60.00°, β = 60.00°, γ = 60.00°
Sites, in units of the cell vectors:
Cu: 0.250 0.250 0.250
Re: 0.750 0.750 0.750
Pa: 0.000 0.000 0.000

No. 9
PaCuRe | PBE | optimized geometry

Calculated values
excess energy over the best structure of this formula in the dataset = 0.0000 eV/atom
calculated formation energy = 0.452 eV per atom
SG = No. 216

a = 4.352 Å, b = 4.352 Å, c = 4.352 Å
α = 60.00°, β = 60.00°, γ = 60.00°
Sites, in units of the cell vectors:
Pa: 0.250 0.250 0.250
Cu: 0.000 0.000 0.000
Re: 0.750 0.750 0.750

No. 10
Pa3CuS6 | PBE | optimized geometry

Calculated values
raw total energy = -7.115 eV/atom
SG = No. 36

a = 8.362 Å, b = 8.362 Å, c = 6.372 Å
α = 90.00°, β = 90.00°, γ = 100.53°
Last column: magnetic moment on the atom in μB.
Sites, in units of the cell vectors:
S: 0.906 0.442 0.799  -0.03
S: 0.773 0.227 0.330  -0.03
S: 0.968 0.032 0.821  -0.02
S: 0.558 0.094 0.799  -0.03
S: 0.442 0.906 0.299  -0.03
S: 0.628 0.698 0.820  -0.03
S: 0.372 0.302 0.320  -0.03
S: 0.698 0.628 0.320  -0.03
S: 0.094 0.558 0.299  -0.03
S: 0.227 0.773 0.830  -0.03
S: 0.302 0.372 0.820  -0.03
S: 0.032 0.968 0.321  -0.02
Cu: 0.801 0.199 0.964  0.00
Cu: 0.199 0.801 0.464  0.00
Pa: 0.270 0.072 0.022  0.75
Pa: 0.072 0.270 0.522  0.69
Pa: 0.605 0.395 0.618  0.95
Pa: 0.928 0.730 0.022  0.70
Pa: 0.395 0.605 0.118  0.97
Pa: 0.730 0.928 0.522  0.74

No. 11
Sc4PaCu | PBE | optimized geometry

Calculated values
calculated formation energy = 0.798 eV per atom
SG = No. 65

a = 5.683 Å, b = 5.683 Å, c = 4.991 Å
α = 90.00°, β = 90.00°, γ = 94.27°
Last column: magnetic moment on the atom in μB.
Sites, in units of the cell vectors:
Sc: 0.690 0.690 0.000  0.20
Sc: 0.165 0.835 0.500  0.32
Sc: 0.835 0.165 0.500  0.32
Sc: 0.310 0.310 0.000  0.20
Cu: 0.000 0.000 0.000  0.02
Pa: 0.500 0.500 0.500  1.40

No. 12
Pa2CuSi3 | PBE | optimized geometry

Calculated values
raw total energy = -7.005 eV/atom
SG = No. 25

a = 4.005 Å, b = 4.024 Å, c = 6.892 Å
α = 90.00°, β = 90.00°, γ = 90.00°
Sites, in units of the cell vectors:
Si: 0.500 0.500 0.833
Si: 0.500 0.500 0.172
Si: 0.500 0.000 0.661
Pa: 0.000 0.500 0.511
Pa: 0.000 0.000 0.993
Cu: 0.500 0.000 0.330

No. 13
SmPaCu | PBE | optimized geometry

Calculated values
excess energy over the best structure of this formula in the dataset = 0.0000 eV/atom
calculated formation energy = 0.476 eV per atom
SG = No. 216

a = 4.797 Å, b = 4.797 Å, c = 4.797 Å
α = 60.00°, β = 60.00°, γ = 60.00°
Sites, in units of the cell vectors:
Sm: 0.750 0.750 0.750
Pa: 0.250 0.250 0.250
Cu: 0.000 0.000 0.000

No. 14
PaCuSn | PBE | optimized geometry

Calculated values
raw total energy = -5.852 eV/atom
SG = No. 216

a = 4.595 Å, b = 4.595 Å, c = 4.595 Å
α = 60.00°, β = 60.00°, γ = 60.00°
Sites, in units of the cell vectors:
Sn: 0.750 0.750 0.750
Pa: 0.250 0.250 0.250
Cu: 0.000 0.000 0.000

No. 15
PaCuSn | PBE | optimized geometry

Calculated values
raw total energy = -5.256 eV/atom
SG = No. 216

a = 4.868 Å, b = 4.868 Å, c = 4.868 Å
α = 60.00°, β = 60.00°, γ = 60.00°
Sites, in units of the cell vectors:
Pa: 0.000 0.000 0.000
Cu: 0.250 0.250 0.250
Sn: 0.750 0.750 0.750

No. 16
PaCuTc | PBE | optimized geometry

Calculated values
excess energy over the best structure of this formula in the dataset = 0.0000 eV/atom
calculated formation energy = 0.312 eV per atom
SG = No. 216

a = 4.347 Å, b = 4.347 Å, c = 4.347 Å
α = 60.00°, β = 60.00°, γ = 60.00°
Sites, in units of the cell vectors:
Pa: 0.250 0.250 0.250
Cu: 0.000 0.000 0.000
Tc: 0.750 0.750 0.750

No. 17
PaCuTc | PBE | optimized geometry

Calculated values
excess energy over the best structure of this formula in the dataset = 0.3014 eV/atom
calculated formation energy = 0.614 eV per atom
SG = No. 216

a = 4.420 Å, b = 4.420 Å, c = 4.420 Å
α = 60.00°, β = 60.00°, γ = 60.00°
Sites, in units of the cell vectors:
Pa: 0.000 0.000 0.000
Tc: 0.750 0.750 0.750
Cu: 0.250 0.250 0.250

No. 18
PaCuTe | PBE | optimized geometry

Calculated values
excess energy over the best structure of this formula in the dataset = 0.2762 eV/atom
SG = No. 216

a = 4.652 Å, b = 4.652 Å, c = 4.652 Å
α = 60.00°, β = 60.00°, γ = 60.00°
Sites, in units of the cell vectors:
Pa: 0.750 0.750 0.750
Te: 0.000 0.000 0.000
Cu: 0.250 0.250 0.250

No. 19
PaCuTe | PBE | optimized geometry

Calculated values
excess energy over the best structure of this formula in the dataset = 0.0000 eV/atom
SG = No. 216

a = 4.911 Å, b = 4.911 Å, c = 4.911 Å
α = 60.00°, β = 60.00°, γ = 60.00°
Sites, in units of the cell vectors:
Pa: 0.000 0.000 0.000
Cu: 0.250 0.250 0.250
Te: 0.750 0.750 0.750

No. 20
PaTlCuTe3 | PBE | optimized geometry

Calculated values
raw total energy = -4.738 eV/atom
SG = No. 63

a = 8.167 Å, b = 8.167 Å, c = 11.310 Å
α = 90.00°, β = 90.00°, γ = 149.89°
Last column: magnetic moment on the atom in μB.
Sites, in units of the cell vectors:
Cu: 0.968 0.032 0.250  -0.01
Cu: 0.032 0.968 0.750  -0.01
Te: 0.866 0.134 0.436  -0.03
Te: 0.134 0.866 0.564  -0.03
Te: 0.572 0.428 0.250  -0.02
Te: 0.428 0.572 0.750  -0.02
Te: 0.866 0.134 0.064  -0.03
Te: 0.134 0.866 0.936  -0.03
Pa: 0.500 0.500 0.500  0.96
Pa: 0.500 0.500 0.000  0.95
Tl: 0.255 0.745 0.250  0.00
Tl: 0.745 0.255 0.750  0.00

No. 21
ThPaCu | PBE | optimized geometry

Calculated values
excess energy over the best structure of this formula in the dataset = 0.0000 eV/atom
calculated formation energy = 0.401 eV per atom
SG = No. 216

a = 4.765 Å, b = 4.765 Å, c = 4.765 Å
α = 60.00°, β = 60.00°, γ = 60.00°
Sites, in units of the cell vectors:
Th: 0.750 0.750 0.750
Cu: 0.000 0.000 0.000
Pa: 0.250 0.250 0.250

No. 22
PaTlCu | PBE | optimized geometry

Calculated values
excess energy over the best structure of this formula in the dataset = 0.1166 eV/atom
SG = No. 216

a = 4.874 Å, b = 4.874 Å, c = 4.874 Å
α = 60.00°, β = 60.00°, γ = 60.00°
Last column: magnetic moment on the atom in μB.
Sites, in units of the cell vectors:
Pa: 0.750 0.750 0.750  0.54
Tl: 0.500 0.500 0.500  0.04
Cu: 0.000 0.000 0.000  0.01

No. 23
PaTlCu | PBE | optimized geometry

Calculated values
excess energy over the best structure of this formula in the dataset = 0.0000 eV/atom
SG = No. 216

a = 4.807 Å, b = 4.807 Å, c = 4.807 Å
α = 60.00°, β = 60.00°, γ = 60.00°
Sites, in units of the cell vectors:
Tl: 0.000 0.000 0.000
Pa: 0.750 0.750 0.750
Cu: 0.250 0.250 0.250

No. 24
TmPaCu | PBE | optimized geometry

Calculated values
excess energy over the best structure of this formula in the dataset = 0.0000 eV/atom
calculated formation energy = 0.426 eV per atom
SG = No. 216

a = 4.700 Å, b = 4.700 Å, c = 4.700 Å
α = 60.00°, β = 60.00°, γ = 60.00°
Sites, in units of the cell vectors:
Pa: 0.250 0.250 0.250
Cu: 0.000 0.000 0.000
Tm: 0.750 0.750 0.750

No. 25
UPaCu | PBE | optimized geometry

Calculated values
calculated formation energy = 0.699 eV per atom
SG = No. 216

a = 4.531 Å, b = 4.531 Å, c = 4.531 Å
α = 60.00°, β = 60.00°, γ = 60.00°
Sites, in units of the cell vectors:
U: 0.750 0.750 0.750
Cu: 0.000 0.000 0.000
Pa: 0.250 0.250 0.250

No. 26
YPaCu | PBE | optimized geometry

Calculated values
excess energy over the best structure of this formula in the dataset = 0.0000 eV/atom
calculated formation energy = 0.471 eV per atom
SG = No. 216

a = 4.760 Å, b = 4.760 Å, c = 4.760 Å
α = 60.00°, β = 60.00°, γ = 60.00°
Sites, in units of the cell vectors:
Y: 0.750 0.750 0.750
Pa: 0.250 0.250 0.250
Cu: 0.000 0.000 0.000

No. 27
PaZnCu | PBE | optimized geometry

Calculated values
calculated formation energy = 1.584 eV per atom
SG = No. 216

a = 4.610 Å, b = 4.610 Å, c = 4.610 Å
α = 60.00°, β = 60.00°, γ = 60.00°
Sites, in units of the cell vectors:
Zn: 0.750 0.750 0.750
Cu: 0.250 0.250 0.250
Pa: 0.000 0.000 0.000

No. 28
PaZnCu | PBE | optimized geometry

Calculated values
calculated formation energy = 0.147 eV per atom
SG = No. 216

a = 4.423 Å, b = 4.423 Å, c = 4.423 Å
α = 60.00°, β = 60.00°, γ = 60.00°
Sites, in units of the cell vectors:
Zn: 0.750 0.750 0.750
Cu: 0.000 0.000 0.000
Pa: 0.250 0.250 0.250

For the records above, the corresponding mass density values read 6.20; 12.34; 8.78; 10.80; 12.53; 14.74; 12.32; 12.56; 13.70; 7.20; 4.90; 9.12; 9.47; 10.00; 8.41; 11.22; 10.67; 9.85; 8.37; 7.74; 11.43; 10.12; 10.55; 10.48; 13.44; 8.35; 8.63; 9.77 g/cm³.